A relaxed structure of MnAsP, computed with PBE.

Cell lengths 5.8007, 5.8007, 5.8007 Å; angles 90.00, 90.00, 90.00 degrees
With the nearest neighbours (Å) after each atom.
Space group F-43m (No. 216)
Inequivalent atoms, fractional coordinates:
Mn  0.0000  0.0000  0.0000 (multiplicity 4)  4 As 2.51, 4 P 2.51
As  0.2500  0.2500  0.2500 (multiplicity 4)  4 Mn 2.51
P  0.2500  0.2500  0.7500 (multiplicity 4)  4 Mn 2.51

Summary:
- D(E_F): 7.2 states/eV/cell
- Formation energy: 15 meV per atom
- Spin magnetization: 2.23 μB per formula unit
- Electronic total energy: -0.2350 hartree per atom

***

A relaxed structure of MnAsPS2, computed with PBE.

Cell lengths 4.7313, 4.7313, 4.7039 Å; angles 90.00, 90.00, 90.00 degrees
With the nearest neighbours (Å) after each atom.
Space group P4/mmm (No. 123)
Inequivalent atoms, fractional coordinates:
Mn  0.0000  0.0000  0.0000 (multiplicity 1)  8 S 3.34, 4 P 3.35
As  0.5000  0.5000  0.5000 (multiplicity 1)  2 P 2.35, 4 S 2.37
P  0.5000  0.5000  0.0000 (multiplicity 1)  2 As 2.35
S  0.0000  0.5000  0.5000 (multiplicity 2)  2 As 2.37

Summary:
- D(E_F): 3.8 states/eV/cell
- E_form (uncorrected): 753 meV/atom
- Spin magnetization: 4.51 μB per formula unit
- Electronic total energy: -0.1743 hartree per atom

***

A relaxed structure of MnAsPS2, computed with PBE.

Cell lengths 4.2393, 4.2393, 4.8808 Å; angles 90.00, 90.00, 90.00 degrees
With the nearest neighbours (Å) after each atom.
Space group P4/mmm (No. 123)
Inequivalent atoms, fractional coordinates:
Mn  0.0000  0.0000  0.0000 (multiplicity 1)  4 S 2.12
As  0.5000  0.5000  0.5000 (multiplicity 1)  4 P 3.00, 8 S 3.23
P  0.0000  0.0000  0.5000 (multiplicity 1)  2 Mn 2.44
S  0.0000  0.5000  0.0000 (multiplicity 2)  2 Mn 2.12

Summary:
- D(E_F): 5.6 states/eV/cell
- E_form (uncorrected): 506 meV/atom
- Spin magnetization: 0.00 μB per formula unit
- Electronic total energy: -0.1834 hartree per atom

***

A relaxed structure of Sc2MnAsP, computed with PBE.

Cell lengths 4.8637, 4.8637, 4.9029 Å; angles 90.00, 90.00, 90.00 degrees
With the nearest neighbours (Å) after each atom.
Space group P4/mmm (No. 123)
Inequivalent atoms, fractional coordinates:
Sc  0.0000  0.5000  0.0000 (multiplicity 2)  2 P 2.43
Mn  0.0000  0.0000  0.5000 (multiplicity 1)  4 As 3.44, 8 Sc 3.45
As  0.5000  0.5000  0.5000 (multiplicity 1)  2 P 2.45
P  0.5000  0.5000  0.0000 (multiplicity 1)  4 Sc 2.43, 2 As 2.45

Summary:
- D(E_F): 7.0 states/eV/cell
- Formation energy: 95 meV per atom
- Spin magnetization: 3.65 μB per formula unit
- Electronic total energy: -0.2309 hartree per atom